Record 1
Material: Ca3CdMo
Method: DFT, PBE-GGA
State: relaxed

a = 5.808 Å, b = 5.808 Å, c = 5.808 Å
α = 90.00°, β = 90.00°, γ = 90.00°
Each line ends with the local moment (μB).
Element x y z (fractional)
1 Ca 0.000 0.500 0.000  -0.03
2 Ca 0.500 0.000 0.000  -0.05
3 Ca 0.000 0.000 0.500  -0.01
4 Mo 0.500 0.500 0.500  3.66
5 Cd 0.000 0.000 0.000  -0.06

Output
**Magnetic moment**: 4.18 μB per cell
**Raw total energy**: -13.22 eV/cell
**ΔE_f**: 0.905 eV/atom
**Symmetry**: Pm-3m


Record 2
Material: Np2GaSi3Pt4
Method: DFT, PBE-GGA
State: relaxed

a = 4.206 Å, b = 4.206 Å, c = 10.098 Å
α = 90.00°, β = 90.00°, γ = 90.00°
Each line ends with the local moment (μB).
Element x y z (fractional)
1 Si 0.500 0.000 0.869  -0.01
2 Si 0.000 0.500 0.131  -0.01
3 Si 0.000 0.000 0.500  -0.02
4 Pt 0.500 0.500 0.000  0.05
5 Pt 0.500 0.000 0.634  -0.03
6 Pt 0.000 0.500 0.366  -0.03
7 Pt 0.000 0.000 0.000  0.05
8 Np 0.500 0.000 0.252  3.77
9 Np 0.000 0.500 0.748  3.77
10 Ga 0.500 0.500 0.500  0.00

Output
**Formation energy without anion corrections**: -0.7208 eV/atom
**Magnetic moment**: 8.04 μB per cell
**Raw total energy**: -76.55 eV/cell
**Symmetry**: P-4m2


Record 3
Material: Pr12Dy2Tm
Method: DFT, PBE-GGA
State: relaxed

a = 6.895 Å, b = 6.895 Å, c = 25.185 Å
α = 90.00°, β = 90.00°, γ = 63.48°
Element x y z (fractional)
1 Pr 0.775 0.275 0.560
2 Pr 0.729 0.771 0.585
3 Pr 0.500 0.500 0.198
4 Pr 0.229 0.271 0.415
5 Pr 0.225 0.725 0.560
6 Pr 0.252 0.752 0.927
7 Pr 0.500 0.500 0.676
8 Pr 0.500 0.500 0.324
9 Pr 0.275 0.775 0.440
10 Pr 0.748 0.248 0.927
11 Pr 0.771 0.729 0.415
12 Pr 0.725 0.225 0.440
13 Pr 0.000 0.000 0.198
14 Pr 0.752 0.252 0.073
15 Pr 0.748 0.752 0.130
16 Pr 0.248 0.252 0.870
17 Pr 0.500 0.500 0.802
18 Pr 0.000 0.000 0.324
19 Pr 0.752 0.748 0.870
20 Pr 0.000 0.000 0.676
21 Pr 0.248 0.748 0.073
22 Pr 0.000 0.000 0.802
23 Pr 0.252 0.248 0.130
24 Pr 0.271 0.229 0.585
25 Dy 0.000 0.500 0.267
26 Dy 0.000 0.500 0.729
27 Dy 0.500 0.000 0.271
28 Dy 0.500 0.000 0.733
29 Tm 0.500 0.000 0.001
30 Tm 0.000 0.500 0.999

Output
**Magnetic moment**: 0.00 μB per cell
**Raw total energy**: -137.39 eV/cell
**ΔE_f**: 0.156 eV/atom
**Symmetry**: Cmme


Record 4
Material: UPaRu2
Method: DFT, PBE-GGA
State: relaxed

a = 3.187 Å, b = 4.919 Å, c = 4.904 Å
α = 97.10°, β = 90.02°, γ = 90.03°
Each line ends with the local moment (μB).
Element x y z (fractional)
1 Ru 0.000 0.581 0.675  -0.09
2 Ru 0.000 0.176 0.082  -0.09
3 Pa 0.500 0.087 0.588  0.12
4 U 0.500 0.656 0.156  0.96

Output
**Magnetic moment**: 0.96 μB per cell
**Raw total energy**: -40.62 eV/cell
**ΔE_f**: -0.320 eV/atom
**Symmetry**: Pm


Record 5
Material: Ac2Tb5Dy12
Method: DFT, PBE-GGA
State: relaxed

a = 6.798 Å, b = 14.235 Å, c = 13.994 Å
α = 150.70°, β = 84.27°, γ = 102.65°
Element x y z (fractional)
1 Dy 0.030 0.356 0.163
2 Dy 0.429 0.498 0.710
3 Dy 0.957 0.147 0.363
4 Dy 0.571 0.502 0.290
5 Dy 0.668 0.712 0.101
6 Dy 0.332 0.288 0.899
7 Dy 0.970 0.644 0.837
8 Dy 0.593 0.018 0.783
9 Dy 0.043 0.853 0.637
10 Dy 0.849 0.449 0.043
11 Dy 0.151 0.551 0.957
12 Dy 0.407 0.982 0.217
13 Tb 0.613 0.220 0.628
14 Tb 0.739 0.417 0.438
15 Tb 0.261 0.583 0.562
16 Tb 0.000 0.000 0.500
17 Tb 0.387 0.780 0.372
18 Ac 0.274 0.090 0.071
19 Ac 0.726 0.910 0.929

Output
**Magnetic moment**: 0.00 μB per cell
**Raw total energy**: -84.38 eV/cell
**ΔE_f**: 0.117 eV/atom
**Symmetry**: P-1


Record 6
Material: OsPb2
Method: DFT, PBE-GGA
State: relaxed

a = 6.131 Å, b = 6.131 Å, c = 8.263 Å
α = 72.91°, β = 72.91°, γ = 30.04°
Element x y z (fractional)
1 Pb 0.023 0.023 0.782
2 Pb 0.977 0.977 0.218
3 Pb 0.303 0.303 0.681
4 Pb 0.697 0.697 0.319
5 Os 0.338 0.338 0.019
6 Os 0.662 0.662 0.981

Output
**Magnetic moment**: 0.00 μB per cell
**Raw total energy**: -33.88 eV/cell
**ΔE_f**: 0.569 eV/atom
**Symmetry**: C2/m


Record 7
Material: PRuSeN
Method: DFT, PBE-GGA
State: relaxed

a = 6.263 Å, b = 3.079 Å, c = 6.412 Å
α = 90.00°, β = 104.26°, γ = 90.00°
Element x y z (fractional)
1 Se 0.272 0.000 0.002
2 Se 0.272 0.500 0.502
3 P 0.756 0.500 0.460
4 P 0.756 0.000 0.960
5 Ru 0.961 0.500 0.811
6 Ru 0.961 0.000 0.311
7 N 0.492 0.500 0.362
8 N 0.492 0.000 0.862

Output
**Formation energy without anion corrections**: 0.1668 eV/atom
**Magnetic moment**: 0.00 μB per cell
**Raw total energy**: -51.66 eV/cell
**Symmetry**: Cm


Record 8
Material: Sn2Pd2Au
Method: DFT, PBE-GGA
State: relaxed

a = 4.616 Å, b = 7.230 Å, c = 7.184 Å
α = 67.28°, β = 71.53°, γ = 70.72°
Element x y z (fractional)
1 Sn 0.400 0.422 0.255
2 Sn 0.085 0.078 0.245
3 Sn 0.600 0.578 0.745
4 Sn 0.915 0.922 0.755
5 Pd 0.347 0.826 0.993
6 Pd 0.171 0.673 0.508
7 Pd 0.653 0.174 0.007
8 Pd 0.829 0.327 0.492
9 Au 0.243 0.250 0.749
10 Au 0.757 0.750 0.251

Output
**Magnetic moment**: 0.00 μB per cell
**Raw total energy**: -47.24 eV/cell
**ΔE_f**: -0.390 eV/atom
**Symmetry**: P-1


Record 9
Material: Y4HoTm8
Method: DFT, PBE-GGA
State: relaxed

a = 7.271 Å, b = 7.271 Å, c = 9.827 Å
α = 90.00°, β = 111.71°, γ = 120.00°
Element x y z (fractional)
1 Tm 0.059 0.250 0.309
2 Tm 0.500 0.250 0.309
3 Tm 0.059 0.809 0.309
4 Tm 0.434 0.217 0.651
5 Tm 0.500 0.750 0.691
6 Tm 0.941 0.191 0.691
7 Tm 0.941 0.750 0.691
8 Tm 0.566 0.783 0.349
9 Ho 0.000 0.500 0.500
10 Y 0.500 0.500 0.000
11 Y 0.000 0.500 0.000
12 Y 0.500 0.000 0.000
13 Y 0.000 0.000 0.000

Output
**Magnetic moment**: 0.00 μB per cell
**Raw total energy**: -63.19 eV/cell
**ΔE_f**: 0.232 eV/atom
**Symmetry**: R-3m


Record 10
Material: YOs2W
Method: DFT, PBE-GGA
State: relaxed

a = 2.854 Å, b = 3.697 Å, c = 6.936 Å
α = 90.00°, β = 90.00°, γ = 90.00°
Element x y z (fractional)
1 W 0.000 0.000 0.444
2 Os 0.500 0.500 0.235
3 Os 0.000 0.000 0.061
4 Y 0.500 0.500 0.759

Output
**Magnetic moment**: 0.00 μB per cell
**Raw total energy**: -40.25 eV/cell
**ΔE_f**: 0.407 eV/atom
**Symmetry**: Pmm2


Record 11
Material: CeGa2Ru
Method: DFT, PBE-GGA
State: relaxed

a = 3.160 Å, b = 3.160 Å, c = 7.187 Å
α = 90.00°, β = 90.00°, γ = 90.00°
Each line ends with the local moment (μB).
Element x y z (fractional)
1 Ga 0.000 0.000 0.808  0.00
2 Ga 0.000 0.000 0.192  0.00
3 Ru 0.500 0.500 0.000  0.07
4 Ce 0.500 0.500 0.500  0.49

Output
**Magnetic moment**: 0.65 μB per cell
**Raw total energy**: -22.98 eV/cell
**ΔE_f**: -0.429 eV/atom
**Symmetry**: P4/mmm


Record 12
Material: NaCdGaAu3
Method: DFT, PBE-GGA
State: relaxed

a = 5.557 Å, b = 8.198 Å, c = 8.474 Å
α = 118.93°, β = 90.00°, γ = 90.00°
Element x y z (fractional)
1 Au 0.500 0.217 0.000
2 Au 0.750 0.744 0.489
3 Au 0.500 0.783 0.000
4 Au 0.250 0.256 0.511
5 Au 0.000 0.217 0.000
6 Au 0.000 0.783 0.000
7 Cd 0.750 0.560 0.120
8 Cd 0.250 0.440 0.880
9 Na 0.750 0.324 0.647
10 Na 0.250 0.676 0.353
11 Ga 0.250 0.088 0.176
12 Ga 0.750 0.912 0.824

Output
**Magnetic moment**: 0.00 μB per cell
**Raw total energy**: -31.41 eV/cell
**ΔE_f**: -0.102 eV/atom
**Symmetry**: Cmcm


Q: Which of these has the highest magnetic moment?
A: Np2GaSi3Pt4


Q: The lowest raw total energy belongs to which entry?
A: Pr12Dy2Tm